[1]
CeSc2Pb: optimized geometry, GGA-PBE.

## Properties
- energy relative to the elements (eV/atom) = -0.11
- VASP energy (eV/atom) = -5.682
- calculated volume (Å³ per cell) = 388.6
- crystal system = cubic
- E above lowest polymorph (eV/atom) = 0.132
- SG = Fm-3m, No. 225
- mass density (g/cm3) = 7.5

a = 7.297 Å, b = 7.297 Å, c = 7.297 Å
α = 90.00°, β = 90.00°, γ = 90.00°
Positions (direct):
Ce 0.000 0.000 0.000
Ce 0.000 0.500 0.500
Ce 0.500 0.000 0.500
Ce 0.500 0.500 0.000
Sc 0.250 0.250 0.250
Sc 0.250 0.250 0.750
Sc 0.250 0.750 0.250
Sc 0.250 0.750 0.750
Sc 0.750 0.250 0.250
Sc 0.750 0.250 0.750
Sc 0.750 0.750 0.250
Sc 0.750 0.750 0.750
Pb 0.000 0.000 0.500
Pb 0.000 0.500 0.000
Pb 0.500 0.000 0.000
Pb 0.500 0.500 0.500

=====

[2]
Ca3GeBi3: optimized geometry, GGA-PBE.

## Properties
- energy relative to the elements (eV/atom) = -0.55
- VASP energy (eV/atom) = -3.731
- calculated volume (Å³ per cell) = 924.2
- crystal system = orthorhombic
- SG = Cmce, No. 64
- mass density (g/cm3) = 5.9

a = 10.673 Å, b = 10.673 Å, c = 13.351 Å
α = 90.00°, β = 90.00°, γ = 37.42°
Positions (direct):
Ca 0.029 0.624 0.120
Ca 0.124 0.529 0.620
Ca 0.204 0.796 0.875
Ca 0.296 0.704 0.375
Ca 0.376 0.971 0.120
Ca 0.471 0.876 0.620
Ca 0.529 0.124 0.380
Ca 0.624 0.029 0.880
Ca 0.704 0.296 0.625
Ca 0.796 0.204 0.125
Ca 0.876 0.471 0.380
Ca 0.971 0.376 0.880
Ge 0.088 0.088 0.500
Ge 0.412 0.412 0.000
Ge 0.588 0.588 0.000
Ge 0.912 0.912 0.500
Bi 0.059 0.610 0.365
Bi 0.110 0.559 0.865
Bi 0.228 0.772 0.632
Bi 0.272 0.728 0.132
Bi 0.390 0.941 0.365
Bi 0.441 0.890 0.865
Bi 0.559 0.110 0.135
Bi 0.610 0.059 0.635
Bi 0.728 0.272 0.868
Bi 0.772 0.228 0.368
Bi 0.890 0.441 0.135
Bi 0.941 0.390 0.635

=====

[3]
SrTl2Zn2: optimized geometry, GGA-PBE.

## Properties
- energy relative to the elements (eV/atom) = 0.01
- VASP energy (eV/atom) = -1.786
- calculated volume (Å³ per cell) = 268.5
- crystal system = tetragonal
- E above lowest polymorph (eV/atom) = 0.190
- SG = P4/mbm, No. 127
- mass density (g/cm3) = 7.8

a = 8.619 Å, b = 8.619 Å, c = 3.615 Å
α = 90.00°, β = 90.00°, γ = 90.00°
Positions (direct):
Sr 0.000 0.000 0.000
Sr 0.500 0.500 0.000
Tl 0.134 0.366 0.000
Tl 0.366 0.866 0.000
Tl 0.634 0.134 0.000
Tl 0.866 0.634 0.000
Zn 0.161 0.661 0.500
Zn 0.339 0.161 0.500
Zn 0.661 0.839 0.500
Zn 0.839 0.339 0.500

=====

[4]
Be3Ru2: optimized geometry, GGA-PBE.

## Properties
- energy relative to the elements (eV/atom) = -0.41
- VASP energy (eV/atom) = -6.359
- calculated volume (Å³ per cell) = 101.1
- crystal system = tetragonal
- E above lowest polymorph (eV/atom) = 0.000
- SG = P4/mbm, No. 127
- mass density (g/cm3) = 7.5

a = 5.695 Å, b = 5.695 Å, c = 3.117 Å
α = 90.00°, β = 90.00°, γ = 90.00°
Positions (direct):
Be 0.000 0.000 0.000
Be 0.126 0.374 0.000
Be 0.374 0.874 0.000
Be 0.500 0.500 0.000
Be 0.626 0.126 0.000
Be 0.874 0.626 0.000
Ru 0.176 0.676 0.500
Ru 0.324 0.176 0.500
Ru 0.676 0.824 0.500
Ru 0.824 0.324 0.500

=====

[5]
Gd2AgRh: optimized geometry, GGA-PBE.

## Properties
- energy relative to the elements (eV/atom) = -0.44
- VASP energy (eV/atom) = -10.033
- calculated volume (Å³ per cell) = 311.1
- crystal system = trigonal
- E above lowest polymorph (eV/atom) = 0.111
- SG = R-3m, No. 166
- mass density (g/cm3) = 8.4

a = 4.019 Å, b = 4.019 Å, c = 22.248 Å
α = 90.00°, β = 90.00°, γ = 120.00°
Positions (direct):
Gd 0.000 0.000 0.237
Gd 0.000 0.000 0.763
Gd 0.333 0.667 0.430
Gd 0.333 0.667 0.904
Gd 0.667 0.333 0.096
Gd 0.667 0.333 0.570
Ag 0.000 0.000 0.000
Ag 0.333 0.667 0.667
Ag 0.667 0.333 0.333
Rh 0.000 0.000 0.500
Rh 0.333 0.667 0.167
Rh 0.667 0.333 0.833

=====

[6]
YFeCl2: optimized geometry, GGA-PBE.

## Properties
- VASP energy (eV/atom) = -5.224
- calculated volume (Å³ per cell) = 78.4
- crystal system = monoclinic
- E above lowest polymorph (eV/atom) = 0.253
- SG = P2/m, No. 10
- mass density (g/cm3) = 4.6

a = 4.559 Å, b = 3.462 Å, c = 5.404 Å
α = 90.00°, β = 113.20°, γ = 90.00°
Positions (direct):
Y 0.000 0.000 0.000
Fe 0.000 0.500 0.500
Cl 0.500 0.000 0.500
Cl 0.500 0.500 0.000

=====

[7]
Mg2H4Ir: optimized geometry, GGA-PBE.

## Properties
- VASP energy (eV/atom) = -3.929
- calculated volume (Å³ per cell) = 157.1
- crystal system = monoclinic
- E above lowest polymorph (eV/atom) = 0.089
- SG = C2, No. 5
- mass density (g/cm3) = 5.2

a = 7.322 Å, b = 6.742 Å, c = 3.677 Å
α = 90.00°, β = 120.06°, γ = 90.00°
Positions (direct):
Mg 0.247 0.000 0.249
Mg 0.253 0.500 0.751
Mg 0.747 0.500 0.249
Mg 0.753 0.000 0.751
H 0.000 0.425 0.000
H 0.000 0.740 0.500
H 0.232 0.185 0.733
H 0.268 0.685 0.267
H 0.500 0.240 0.500
H 0.500 0.925 0.000
H 0.732 0.685 0.733
H 0.768 0.185 0.267
Ir 0.000 0.679 0.000
Ir 0.500 0.179 0.000

=====

[8]
KU3Tl2S8: optimized geometry, GGA-PBE.

## Properties
- VASP energy (eV/atom) = -6.354
- calculated volume (Å³ per cell) = 441.1
- crystal system = trigonal
- SG = R3m, No. 160
- mass density (g/cm3) = 5.3

a = 9.012 Å, b = 9.012 Å, c = 9.012 Å
α = 53.68°, β = 53.68°, γ = 53.68°
Positions (direct):
K 0.000 0.000 0.000
U 0.366 0.366 0.866
U 0.366 0.866 0.366
U 0.866 0.366 0.366
Tl 0.363 0.363 0.363
Tl 0.740 0.740 0.740
S 0.110 0.110 0.561
S 0.110 0.561 0.110
S 0.138 0.138 0.138
S 0.169 0.622 0.622
S 0.561 0.110 0.110
S 0.593 0.593 0.593
S 0.622 0.169 0.622
S 0.622 0.622 0.169